(1)
# PBE CuHgF3, relaxed
data_CuHgF3
_chemical_formula_sum 'Cu1 Hg1 F3'
_cell_length_a 4.084
_cell_length_b 4.084
_cell_length_c 4.084
_cell_angle_alpha 90.00
_cell_angle_beta 90.00
_cell_angle_gamma 90.00
_symmetry_space_group_name_H-M 'P 1'
_symmetry_Int_Tables_number 1
loop_
_symmetry_equiv_pos_as_xyz
'x,y,z'
loop_
_atom_site_label
_atom_site_type_symbol
_atom_site_fract_x
_atom_site_fract_y
_atom_site_fract_z
F1 F 0.000 0.500 0.000
F2 F 0.000 0.000 0.500
F3 F 0.500 0.000 0.000
Hg1 Hg 0.500 0.500 0.500
Cu1 Cu 0.000 0.000 0.000
# Uncorrected formation energy = -1.213 eV per atom
# SG = No. 221
# Magnetization = 0.74 μB/f.u.
# DOS(E_F) = 0.6114 states/eV/atom
# Energy relative to the lowest polymorph listed for this composition = 157 meV/atom


(2)
# PBE Cr2SnN4, relaxed
data_Cr2SnN4
_chemical_formula_sum 'Cr2 Sn1 N4'
_cell_length_a 4.160
_cell_length_b 4.160
_cell_length_c 5.917
_cell_angle_alpha 69.42
_cell_angle_beta 69.42
_cell_angle_gamma 90.00
_symmetry_space_group_name_H-M 'P 1'
_symmetry_Int_Tables_number 1
loop_
_symmetry_equiv_pos_as_xyz
'x,y,z'
loop_
_atom_site_label
_atom_site_type_symbol
_atom_site_fract_x
_atom_site_fract_y
_atom_site_fract_z
N1 N 0.217 0.217 0.567
N2 N 0.500 0.000 0.000
N3 N 0.000 0.500 0.000
N4 N 0.783 0.783 0.433
Sn1 Sn 0.000 0.000 0.000
Cr1 Cr 0.375 0.375 0.250
Cr2 Cr 0.625 0.625 0.750
# Uncorrected formation energy = 0.749 eV per atom
# SG = No. 139
# Magnetization = 3.99 μB/f.u.
# DOS(E_F) = 0.5314 states/eV/atom


(3)
# PBE Li2Pr3Au4, relaxed
data_Li2Pr3Au4
_chemical_formula_sum 'Li2 Pr3 Au4'
_cell_length_a 4.633
_cell_length_b 5.978
_cell_length_c 8.955
_cell_angle_alpha 112.30
_cell_angle_beta 90.00
_cell_angle_gamma 112.80
_symmetry_space_group_name_H-M 'P 1'
_symmetry_Int_Tables_number 1
loop_
_symmetry_equiv_pos_as_xyz
'x,y,z'
loop_
_atom_site_label
_atom_site_type_symbol
_atom_site_fract_x
_atom_site_fract_y
_atom_site_fract_z
Au1 Au 0.285 0.569 0.929
Au2 Au 0.081 0.163 0.399
Au3 Au 0.919 0.837 0.601
Au4 Au 0.715 0.431 0.071
Pr1 Pr 0.355 0.710 0.312
Pr2 Pr 0.645 0.290 0.688
Pr3 Pr 0.000 0.000 0.000
Li1 Li 0.338 0.676 0.669
Li2 Li 0.662 0.324 0.331
# SG = No. 12
# Magnetization = 0.00 μB/f.u.
# Calculated formation energy = -0.6440 eV per atom
# DOS(E_F) = 0.9358 states/eV/atom


(4)
# PBE AsSe2Br, relaxed
data_AsSe2Br
_chemical_formula_sum 'As1 Se2 Br1'
_cell_length_a 4.933
_cell_length_b 4.933
_cell_length_c 4.933
_cell_angle_alpha 60.00
_cell_angle_beta 60.00
_cell_angle_gamma 60.00
_symmetry_space_group_name_H-M 'P 1'
_symmetry_Int_Tables_number 1
loop_
_symmetry_equiv_pos_as_xyz
'x,y,z'
loop_
_atom_site_label
_atom_site_type_symbol
_atom_site_fract_x
_atom_site_fract_y
_atom_site_fract_z
Br1 Br 0.500 0.500 0.500
Se1 Se 0.250 0.250 0.250
Se2 Se 0.750 0.750 0.750
As1 As 0.000 0.000 0.000
# Uncorrected formation energy = 0.568 eV per atom
# SG = No. 225
# Magnetization = 0.00 μB/f.u.
# DOS(E_F) = 0.9950 states/eV/atom
# Energy relative to the lowest polymorph listed for this composition = 720 meV/atom